Entry 1:
First-principles (PBE-GGA) data for a relaxed Zr2MoC crystal, as listed in Alexandria.

Summary:
SG: R-3m (166)
Magnetic moment in μB/f.u.: 0.00
ΔE_f in kJ/mol of atoms: -18.2
E_tot in eV per atom: -9.476

Cell and atoms, written as CIF:
```
data_Zr2MoC
_chemical_formula_sum 'Zr2 Mo1 C1'
_space_group_name_H-M_alt 'P 1'
_space_group_IT_number 1
_cell_length_a 7.436
_cell_length_b 7.436
_cell_length_c 7.436
_cell_angle_alpha 25.28
_cell_angle_beta 25.28
_cell_angle_gamma 25.28
loop_
_space_group_symop_operation_xyz
'x,y,z'
loop_
_atom_site_label
_atom_site_fract_x
_atom_site_fract_y
_atom_site_fract_z
Zr1 0.979 0.979 0.979
Zr2 0.521 0.521 0.521
Mo1 0.750 0.750 0.750
C1 0.250 0.250 0.250
```



Entry 2:
First-principles (PBE-GGA) data for a relaxed Zr2MoC crystal, as listed in Alexandria.

Summary:
SG: Imm2 (44)
Magnetic moment in μB/f.u.: 0.00
ΔE_f in kJ/mol of atoms: 5.9
E_tot in eV per atom: -9.226

Cell and atoms, written as CIF:
```
data_Zr2MoC
_chemical_formula_sum 'Zr2 Mo1 C1'
_space_group_name_H-M_alt 'P 1'
_space_group_IT_number 1
_cell_length_a 5.494
_cell_length_b 5.494
_cell_length_c 5.494
_cell_angle_alpha 148.50
_cell_angle_beta 128.96
_cell_angle_gamma 61.23
loop_
_space_group_symop_operation_xyz
'x,y,z'
loop_
_atom_site_label
_atom_site_fract_x
_atom_site_fract_y
_atom_site_fract_z
Zr1 0.675 0.175 0.500
Mo1 0.336 0.836 0.500
Zr2 0.998 0.998 0.000
C1 0.491 0.491 0.000
```



Entry 3:
First-principles (PBE-GGA) data for a relaxed Zr3MoC crystal, as listed in Alexandria.

Summary:
Polymorph energy (0 for the lowest one) in kJ per mole of atoms: 0.0
SG: Pm-3m (221)
Magnetic moment in μB/f.u.: 0.00
ΔE_f in kJ/mol of atoms: -10.0
E_tot in eV per atom: -9.244

Cell and atoms, written as CIF:
```
data_Zr3MoC
_chemical_formula_sum 'Zr3 Mo1 C1'
_space_group_name_H-M_alt 'P 1'
_space_group_IT_number 1
_cell_length_a 4.527
_cell_length_b 4.527
_cell_length_c 4.527
_cell_angle_alpha 90.00
_cell_angle_beta 90.00
_cell_angle_gamma 90.00
loop_
_space_group_symop_operation_xyz
'x,y,z'
loop_
_atom_site_label
_atom_site_fract_x
_atom_site_fract_y
_atom_site_fract_z
Zr1 0.000 0.500 0.000
C1 0.000 0.000 0.000
Zr2 0.000 0.000 0.500
Mo1 0.500 0.500 0.500
Zr3 0.500 0.000 0.000
```



Entry 4:
First-principles (PBE-GGA) data for a relaxed ZrMoC3 crystal, as listed in Alexandria.

Summary:
Polymorph energy (0 for the lowest one) in kJ per mole of atoms: 0.0
SG: Pm-3m (221)
Magnetic moment in μB/f.u.: 0.00
ΔE_f in kJ/mol of atoms: 112.2
E_tot in eV per atom: -8.247

Cell and atoms, written as CIF:
```
data_ZrMoC3
_chemical_formula_sum 'Zr1 Mo1 C3'
_space_group_name_H-M_alt 'P 1'
_space_group_IT_number 1
_cell_length_a 4.005
_cell_length_b 4.005
_cell_length_c 4.005
_cell_angle_alpha 90.00
_cell_angle_beta 90.00
_cell_angle_gamma 90.00
loop_
_space_group_symop_operation_xyz
'x,y,z'
loop_
_atom_site_label
_atom_site_fract_x
_atom_site_fract_y
_atom_site_fract_z
C1 0.500 0.000 0.000
C2 0.000 0.500 0.000
C3 0.000 0.000 0.500
Zr1 0.500 0.500 0.500
Mo1 0.000 0.000 0.000
```



Entry 5:
First-principles (PBE-GGA) data for a relaxed Zr2MoC crystal, as listed in Alexandria.

Summary:
SG: P4mm (99)
Magnetic moment in μB/f.u.: 0.00
ΔE_f in kJ/mol of atoms: 22.1
E_tot in eV per atom: -9.059

Cell and atoms, written as CIF:
```
data_Zr2MoC
_chemical_formula_sum 'Zr2 Mo1 C1'
_space_group_name_H-M_alt 'P 1'
_space_group_IT_number 1
_cell_length_a 2.973
_cell_length_b 2.973
_cell_length_c 7.510
_cell_angle_alpha 90.00
_cell_angle_beta 90.00
_cell_angle_gamma 90.00
loop_
_space_group_symop_operation_xyz
'x,y,z'
loop_
_atom_site_label
_atom_site_fract_x
_atom_site_fract_y
_atom_site_fract_z
Mo1 0.500 0.500 0.660
Zr1 0.000 0.000 0.967
Zr2 0.500 0.500 0.293
C1 0.000 0.000 0.579
```



Entry 6:
First-principles (PBE-GGA) data for a relaxed Zr2MoC crystal, as listed in Alexandria.

Summary:
SG: P4/mmm (123)
Magnetic moment in μB/f.u.: 0.00
ΔE_f in kJ/mol of atoms: 25.6
E_tot in eV per atom: -9.023

Cell and atoms, written as CIF:
```
data_Zr2MoC
_chemical_formula_sum 'Zr2 Mo1 C1'
_space_group_name_H-M_alt 'P 1'
_space_group_IT_number 1
_cell_length_a 3.238
_cell_length_b 3.238
_cell_length_c 6.015
_cell_angle_alpha 90.00
_cell_angle_beta 90.00
_cell_angle_gamma 90.00
loop_
_space_group_symop_operation_xyz
'x,y,z'
loop_
_atom_site_label
_atom_site_fract_x
_atom_site_fract_y
_atom_site_fract_z
Zr1 0.000 0.000 0.472
Mo1 0.500 0.500 0.750
C1 0.500 0.500 0.250
Zr2 0.000 0.000 0.028
```



Entry 7:
First-principles (PBE-GGA) data for a relaxed Zr2MoC crystal, as listed in Alexandria.

Summary:
SG: I-42d (122)
Magnetic moment in μB/f.u.: 0.00
ΔE_f in kJ/mol of atoms: 9.9
E_tot in eV per atom: -9.185

Cell and atoms, written as CIF:
```
data_Zr2MoC
_chemical_formula_sum 'Zr4 Mo2 C2'
_space_group_name_H-M_alt 'P 1'
_space_group_IT_number 1
_cell_length_a 8.412
_cell_length_b 8.412
_cell_length_c 6.300
_cell_angle_alpha 48.11
_cell_angle_beta 48.11
_cell_angle_gamma 90.00
loop_
_space_group_symop_operation_xyz
'x,y,z'
loop_
_atom_site_label
_atom_site_fract_x
_atom_site_fract_y
_atom_site_fract_z
Zr1 0.375 0.519 0.750
Mo1 0.750 0.250 0.500
Zr2 0.481 0.125 0.250
Zr3 0.269 0.625 0.250
Mo2 0.000 0.000 0.000
Zr4 0.875 0.731 0.750
C1 0.250 0.750 0.500
C2 0.500 0.500 0.000
```



Entry 8:
First-principles (PBE-GGA) data for a relaxed Zr2MoC crystal, as listed in Alexandria.

Summary:
SG: Amm2 (38)
Magnetic moment in μB/f.u.: 0.00
ΔE_f in kJ/mol of atoms: -28.9
E_tot in eV per atom: -9.588

Cell and atoms, written as CIF:
```
data_Zr2MoC
_chemical_formula_sum 'Zr2 Mo1 C1'
_space_group_name_H-M_alt 'P 1'
_space_group_IT_number 1
_cell_length_a 3.127
_cell_length_b 5.097
_cell_length_c 5.097
_cell_angle_alpha 55.93
_cell_angle_beta 90.00
_cell_angle_gamma 90.00
loop_
_space_group_symop_operation_xyz
'x,y,z'
loop_
_atom_site_label
_atom_site_fract_x
_atom_site_fract_y
_atom_site_fract_z
Zr1 0.000 0.002 0.002
Zr2 0.500 0.327 0.327
Mo1 0.500 0.664 0.664
C1 0.000 0.508 0.508
```



Entry 9:
First-principles (PBE-GGA) data for a relaxed Zr2MoC crystal, as listed in Alexandria.

Summary:
SG: Cm (8)
Magnetic moment in μB/f.u.: 0.00
ΔE_f in kJ/mol of atoms: -4.8
E_tot in eV per atom: -9.338

Cell and atoms, written as CIF:
```
data_Zr2MoC
_chemical_formula_sum 'Zr2 Mo1 C1'
_space_group_name_H-M_alt 'P 1'
_space_group_IT_number 1
_cell_length_a 4.882
_cell_length_b 4.882
_cell_length_c 5.242
_cell_angle_alpha 66.83
_cell_angle_beta 66.83
_cell_angle_gamma 35.78
loop_
_space_group_symop_operation_xyz
'x,y,z'
loop_
_atom_site_label
_atom_site_fract_x
_atom_site_fract_y
_atom_site_fract_z
Mo1 0.156 0.156 0.303
C1 0.546 0.546 0.604
Zr1 0.811 0.811 0.625
Zr2 0.988 0.988 0.967
```



Entry 10:
First-principles (PBE-GGA) data for a relaxed ZrMoC3 crystal, as listed in Alexandria.

Summary:
Polymorph energy (0 for the lowest one) in kJ per mole of atoms: 118.9
SG: Pm-3m (221)
Magnetic moment in μB/f.u.: 2.65
ΔE_f in kJ/mol of atoms: 231.2
E_tot in eV per atom: -7.014

Cell and atoms, written as CIF:
```
data_ZrMoC3
_chemical_formula_sum 'Zr1 Mo1 C3'
_space_group_name_H-M_alt 'P 1'
_space_group_IT_number 1
_cell_length_a 4.207
_cell_length_b 4.207
_cell_length_c 4.207
_cell_angle_alpha 90.00
_cell_angle_beta 90.00
_cell_angle_gamma 90.00
loop_
_space_group_symop_operation_xyz
'x,y,z'
loop_
_atom_site_label
_atom_site_fract_x
_atom_site_fract_y
_atom_site_fract_z
C1 0.500 0.000 0.000
C2 0.000 0.500 0.000
Mo1 0.500 0.500 0.500
Zr1 0.000 0.000 0.000
C3 0.000 0.000 0.500
```



Entry 11:
First-principles (PBE-GGA) data for a relaxed Na3CN3 crystal, as listed in Alexandria.

Summary:
Polymorph energy (0 for the lowest one) in kJ per mole of atoms: 0.0
SG: P6_3/m (176)
Magnetic moment in μB/f.u.: 0.00
E_tot in eV per atom: -5.382
Formation energy (no corrections) in eV/f.u.: 0.48

Cell and atoms, written as CIF:
```
data_Na3CN3
_chemical_formula_sum 'Na6 C2 N6'
_space_group_name_H-M_alt 'P 1'
_space_group_IT_number 1
_cell_length_a 4.831
_cell_length_b 6.957
_cell_length_c 6.957
_cell_angle_alpha 120.00
_cell_angle_beta 90.00
_cell_angle_gamma 90.00
loop_
_space_group_symop_operation_xyz
'x,y,z'
loop_
_atom_site_label
_atom_site_fract_x
_atom_site_fract_y
_atom_site_fract_z
Na1 0.250 0.190 0.358
C1 0.750 0.333 0.667
Na2 0.750 0.810 0.642
C2 0.250 0.667 0.333
Na3 0.250 0.169 0.810
Na4 0.750 0.358 0.169
N1 0.250 0.789 0.234
N2 0.250 0.444 0.211
N3 0.750 0.556 0.789
Na5 0.250 0.642 0.831
N4 0.250 0.766 0.556
N5 0.750 0.211 0.766
Na6 0.750 0.831 0.190
N6 0.750 0.234 0.444
```



Entry 12:
First-principles (PBE-GGA) data for a relaxed NaCN3 crystal, as listed in Alexandria.

Summary:
SG: R-3m (166)
Magnetic moment in μB/f.u.: 0.00
E_tot in eV per atom: -6.227
Formation energy (no corrections) in eV/f.u.: 4.39

Cell and atoms, written as CIF:
```
data_NaCN3
_chemical_formula_sum 'Na2 C2 N6'
_space_group_name_H-M_alt 'P 1'
_space_group_IT_number 1
_cell_length_a 5.678
_cell_length_b 5.678
_cell_length_c 5.678
_cell_angle_alpha 58.55
_cell_angle_beta 58.55
_cell_angle_gamma 58.55
loop_
_space_group_symop_operation_xyz
'x,y,z'
loop_
_atom_site_label
_atom_site_fract_x
_atom_site_fract_y
_atom_site_fract_z
N1 0.836 0.416 0.836
Na1 0.871 0.871 0.871
Na2 0.129 0.129 0.129
N2 0.416 0.836 0.836
N3 0.836 0.836 0.416
N4 0.164 0.584 0.164
C1 0.688 0.688 0.688
N5 0.164 0.164 0.584
N6 0.584 0.164 0.164
C2 0.312 0.312 0.312
```



Entry 13:
First-principles (PBE-GGA) data for a relaxed NaCN3 crystal, as listed in Alexandria.

Summary:
SG: Pm-3m (221)
Magnetic moment in μB/f.u.: 6.00
E_tot in eV per atom: -3.074
Formation energy (no corrections) in eV/f.u.: 20.15

Cell and atoms, written as CIF:
```
data_NaCN3
_chemical_formula_sum 'Na1 C1 N3'
_space_group_name_H-M_alt 'P 1'
_space_group_IT_number 1
_cell_length_a 4.351
_cell_length_b 4.351
_cell_length_c 4.351
_cell_angle_alpha 90.00
_cell_angle_beta 90.00
_cell_angle_gamma 90.00
loop_
_space_group_symop_operation_xyz
'x,y,z'
loop_
_atom_site_label
_atom_site_fract_x
_atom_site_fract_y
_atom_site_fract_z
N1 0.000 0.000 0.500
C1 0.500 0.500 0.500
N2 0.000 0.500 0.000
N3 0.500 0.000 0.000
Na1 0.000 0.000 0.000
```



Entry 14:
First-principles (PBE-GGA) data for a relaxed NaC2N crystal, as listed in Alexandria.

Summary:
SG: I-42d (122)
Magnetic moment in μB/f.u.: 0.94
E_tot in eV per atom: -5.058
Formation energy (no corrections) in eV/f.u.: 7.86

Cell and atoms, written as CIF:
```
data_NaC2N
_chemical_formula_sum 'Na2 C4 N2'
_space_group_name_H-M_alt 'P 1'
_space_group_IT_number 1
_cell_length_a 5.042
_cell_length_b 5.042
_cell_length_c 4.711
_cell_angle_alpha 57.65
_cell_angle_beta 57.65
_cell_angle_gamma 90.00
loop_
_space_group_symop_operation_xyz
'x,y,z'
loop_
_atom_site_label
_atom_site_fract_x
_atom_site_fract_y
_atom_site_fract_z
Na1 0.000 0.000 0.000
Na2 0.750 0.250 0.500
N1 0.250 0.750 0.500
C1 0.875 0.754 0.750
C2 0.246 0.625 0.250
N2 0.500 0.500 0.000
C3 0.375 0.496 0.750
C4 0.504 0.125 0.250
```